# 1
Zr2Mo (PBE, optimized geometry); excess energy over the best structure of this formula in the dataset = 0.0 meV per atom; DOS(E_F) = 0.935 states/eV per atom; calculated formation energy = 0.00 eV per atom; VASP energy = -9.310 eV per atom; volume = 497.19 Å³/cell; spin magnetization = 0.00 μB per cell; SG = Fd-3m, No. 227
1.0
0.0000 6.2878 6.2878
6.2878 0.0000 6.2878
6.2878 6.2878 0.0000
Zr Mo
16 8
direct
0.0000 0.0000 0.0000 Zr
0.0000 0.0000 0.5000 Zr
0.0000 0.5000 0.0000 Zr
0.1858 0.1858 0.5642 Zr
0.1858 0.5642 0.1858 Zr
0.1858 0.5642 0.5642 Zr
0.4358 0.4358 0.8142 Zr
0.4358 0.8142 0.4358 Zr
0.4358 0.8142 0.8142 Zr
0.5000 0.0000 0.0000 Zr
0.5642 0.1858 0.1858 Zr
0.5642 0.1858 0.5642 Zr
0.5642 0.5642 0.1858 Zr
0.8142 0.4358 0.4358 Zr
0.8142 0.4358 0.8142 Zr
0.8142 0.8142 0.4358 Zr
0.1324 0.7892 0.7892 Mo
0.2108 0.2108 0.2108 Mo
0.2108 0.2108 0.8676 Mo
0.2108 0.8676 0.2108 Mo
0.7892 0.1324 0.7892 Mo
0.7892 0.7892 0.1324 Mo
0.7892 0.7892 0.7892 Mo
0.8676 0.2108 0.2108 Mo


# 2
Zn3ReSb (PBE, optimized geometry); excess energy over the best structure of this formula in the dataset = 0.0 meV per atom; DOS(E_F) = 0.850 states/eV per atom; formation energy from raw total energies = 939.8 meV/atom; VASP energy = -3.139 eV per atom; volume = 113.83 Å³/cell; spin magnetization = 0.00 μB per cell; SG = Pm-3m, No. 221
1.0
4.8463 0.0000 0.0000
0.0000 4.8463 0.0000
0.0000 0.0000 4.8463
Zn Re Sb
3 1 1
direct
0.0000 0.0000 0.5000 Zn
0.0000 0.5000 0.0000 Zn
0.5000 0.0000 0.0000 Zn
0.0000 0.0000 0.0000 Re
0.5000 0.5000 0.5000 Sb


# 3
TePb (PBE, optimized geometry); DOS(E_F) = 0.153 states/eV per atom; formation energy from raw total energies = -314.8 meV/atom; VASP energy = -3.740 eV per atom; volume = 142.17 Å³/cell; spin magnetization = 0.00 μB per cell; SG = P6_3/mmc, No. 194
1.0
4.4873 0.0000 0.0000
-2.2437 3.8861 0.0000
0.0000 0.0000 8.1528
Te Pb
2 2
direct
0.0000 0.0000 0.0000 Te
0.0000 0.0000 0.5000 Te
0.3333 0.6667 0.2500 Pb
0.6667 0.3333 0.7500 Pb


# 4
PaCo2Ni5 (PBE, optimized geometry); DOS(E_F) = 1.588 states/eV per atom; calculated formation energy = -0.09 eV per atom; VASP energy = -6.664 eV per atom; volume = 103.84 Å³/cell; spin magnetization = 2.43 μB per cell; SG = Immm, No. 71
1.0
-1.7399 3.5304 4.2265
1.7399 -3.5304 4.2265
1.7399 3.5304 -4.2265
Pa Co Ni
1 2 5
direct
0.0000 0.0000 0.0000 Pa
0.2169 0.7169 0.5000 Co
0.7831 0.2831 0.5000 Co
0.1748 0.3520 0.8228 Ni
0.4709 0.6480 0.8228 Ni
0.5000 0.0000 0.5000 Ni
0.5291 0.3520 0.1772 Ni
0.8252 0.6480 0.1772 Ni


# 5
RbZnCdAu (PBE, optimized geometry); DOS(E_F) = 0.235 states/eV per atom; calculated formation energy = -0.18 eV per atom; VASP energy = -1.792 eV per atom; volume = 122.43 Å³/cell; spin magnetization = 0.00 μB per cell; SG = R3m, No. 160
1.0
2.3350 1.3481 6.4825
-2.3350 1.3481 6.4825
0.0000 -2.6962 6.4825
Rb Zn Cd Au
1 1 1 1
direct
0.0000 0.0000 0.0000 Rb
0.8031 0.8031 0.8031 Zn
0.1907 0.1907 0.1907 Cd
0.4778 0.4778 0.4778 Au


# 6
Tb3Pr2Sm6Tl (PBE, optimized geometry); DOS(E_F) = 1.259 states/eV per atom; calculated formation energy = -0.03 eV per atom; VASP energy = -4.541 eV per atom; volume = 391.08 Å³/cell; spin magnetization = 0.00 μB per cell; SG = C2/m, No. 12
1.0
3.0994 -5.3770 0.0000
3.0994 5.3770 0.0000
-2.0844 0.0000 11.7334
Tb Pr Sm Tl
3 2 6 1
direct
0.0000 0.0000 0.0000 Tb
0.3328 0.6672 0.0000 Tb
0.6672 0.3328 0.0000 Tb
0.1662 0.8338 0.5000 Pr
0.8338 0.1662 0.5000 Pr
0.0901 0.4165 0.2489 Sm
0.2574 0.2574 0.7523 Sm
0.4165 0.0901 0.2489 Sm
0.5835 0.9099 0.7511 Sm
0.7426 0.7426 0.2477 Sm
0.9099 0.5835 0.7511 Sm
0.5000 0.5000 0.5000 Tl


# 7
Ba4AsI5 (PBE, optimized geometry); excess energy over the best structure of this formula in the dataset = 35.3 meV per atom; DOS(E_F) = 0.000 states/eV per atom; formation energy from raw total energies = -1616.1 meV/atom; VASP energy = -3.625 eV per atom; volume = 462.36 Å³/cell; spin magnetization = 0.00 μB per cell; SG = C2/m, No. 12
1.0
10.6456 -2.5456 0.0000
10.6456 2.5456 0.0000
-2.2606 0.0000 8.5308
Ba As I
4 1 5
direct
0.0542 0.0542 0.3167 Ba
0.3607 0.3607 0.2098 Ba
0.6393 0.6393 0.7902 Ba
0.9458 0.9458 0.6833 Ba
0.5000 0.5000 0.5000 As
0.1699 0.1699 0.0745 I
0.1943 0.1943 0.5982 I
0.5000 0.5000 0.0000 I
0.8057 0.8057 0.4018 I
0.8301 0.8301 0.9255 I


# 8
TlVIn3 (PBE, optimized geometry); excess energy over the best structure of this formula in the dataset = 756.5 meV per atom; DOS(E_F) = 2.359 states/eV per atom; calculated formation energy = 1.11 eV per atom; VASP energy = -2.827 eV per atom; volume = 182.48 Å³/cell; spin magnetization = 3.77 μB per cell; SG = Pm-3m, No. 221
1.0
5.6720 0.0000 0.0000
0.0000 5.6720 0.0000
0.0000 0.0000 5.6720
Tl V In
1 1 3
direct
0.0000 0.0000 0.0000 Tl
0.5000 0.5000 0.5000 V
0.0000 0.0000 0.5000 In
0.0000 0.5000 0.0000 In
0.5000 0.0000 0.0000 In


# 9
VZnNi (PBE, optimized geometry); DOS(E_F) = 1.005 states/eV per atom; calculated formation energy = -0.08 eV per atom; VASP energy = -5.476 eV per atom; volume = 76.72 Å³/cell; spin magnetization = 0.00 μB per cell; SG = C2/m, No. 12
1.0
5.1435 -1.3779 0.0000
5.1435 1.3779 0.0000
-1.4688 0.0000 5.4128
V Zn Ni
2 2 2
direct
0.1868 0.1868 0.1180 V
0.8132 0.8132 0.8820 V
0.4844 0.4844 0.2427 Zn
0.5156 0.5156 0.7573 Zn
0.1616 0.1616 0.5569 Ni
0.8384 0.8384 0.4431 Ni


# 10
InAsCl2 (PBE, optimized geometry); excess energy over the best structure of this formula in the dataset = 181.2 meV per atom; DOS(E_F) = 0.308 states/eV per atom; formation energy from raw total energies = -298.2 meV/atom; VASP energy = -3.068 eV per atom; volume = 101.94 Å³/cell; spin magnetization = 0.00 μB per cell; SG = Pmm2, No. 25
1.0
3.4685 0.0000 0.0000
0.0000 5.4848 0.0000
0.0000 0.0000 5.3584
In As Cl
1 1 2
direct
0.0000 0.0000 0.0000 In
0.5000 0.5000 0.9976 As
0.0000 0.0000 0.4857 Cl
0.5000 0.5000 0.5944 Cl


# 11
Hg5Mo (PBE, optimized geometry); excess energy over the best structure of this formula in the dataset = 360.3 meV per atom; DOS(E_F) = 0.616 states/eV per atom; calculated formation energy = 0.73 eV per atom; VASP energy = -1.329 eV per atom; volume = 147.87 Å³/cell; spin magnetization = 4.22 μB per cell; SG = F-43m, No. 216
1.0
0.0000 4.1971 4.1971
4.1971 0.0000 4.1971
4.1971 4.1971 0.0000
Hg Mo
5 1
direct
0.0000 0.0000 0.0000 Hg
0.1260 0.6247 0.6247 Hg
0.6247 0.1260 0.6247 Hg
0.6247 0.6247 0.1260 Hg
0.6247 0.6247 0.6247 Hg
0.2500 0.2500 0.2500 Mo


# 12
KMnFeBr2 (PBE, optimized geometry); DOS(E_F) = 2.297 states/eV per atom; formation energy from raw total energies = 920.8 meV/atom; VASP energy = -3.494 eV per atom; volume = 210.83 Å³/cell; spin magnetization = 1.16 μB per cell; SG = P4/mmm, No. 123
1.0
5.9185 0.0000 0.0000
0.0000 5.9185 0.0000
0.0000 0.0000 6.0189
K Mn Fe Br
1 1 1 2
direct
0.0000 0.0000 0.0000 K
0.0000 0.0000 0.5000 Mn
0.5000 0.5000 0.5000 Fe
0.0000 0.5000 0.0000 Br
0.5000 0.0000 0.0000 Br


Which formula does entry 12 have? KMnFeBr2


volume of number 4 (PaCo2Ni5)? 103.84 Å³/cell


What is the formula in the fourth record? PaCo2Ni5


Please write out number 6 again, unchanged.
Tb3Pr2Sm6Tl (PBE, optimized geometry); DOS(E_F) = 1.259 states/eV per atom; calculated formation energy = -0.03 eV per atom; VASP energy = -4.541 eV per atom; volume = 391.08 Å³/cell; spin magnetization = 0.00 μB per cell; SG = C2/m, No. 12
1.0
3.0994 -5.3770 0.0000
3.0994 5.3770 0.0000
-2.0844 0.0000 11.7334
Tb Pr Sm Tl
3 2 6 1
direct
0.0000 0.0000 0.0000 Tb
0.3328 0.6672 0.0000 Tb
0.6672 0.3328 0.0000 Tb
0.1662 0.8338 0.5000 Pr
0.8338 0.1662 0.5000 Pr
0.0901 0.4165 0.2489 Sm
0.2574 0.2574 0.7523 Sm
0.4165 0.0901 0.2489 Sm
0.5835 0.9099 0.7511 Sm
0.7426 0.7426 0.2477 Sm
0.9099 0.5835 0.7511 Sm
0.5000 0.5000 0.5000 Tl